1.
Cu3Au: optimized geometry, PBE.

Results
calculated total energy = -3.925 eV per atom
energy of formation = -0.034 eV/atom
space group = Pm-3m, No. 221
size of the total moment = 0.00 μB/f.u.

```
Cu3Au
1.0
3.7839 0.0000 0.0000
0.0000 3.7839 0.0000
0.0000 0.0000 3.7839
Cu Au
3 1
Direct
0.0000 0.0000 0.5000
0.0000 0.5000 0.0000
0.5000 0.0000 0.0000
0.5000 0.5000 0.5000
```

---

2.
Cu4Au: optimized geometry, PBE.

Results
calculated total energy = -3.959 eV per atom
energy of formation = -0.027 eV/atom
space group = I4/m, No. 87
size of the total moment = 0.00 μB/f.u.

```
Cu4Au
1.0
-2.9527 2.9527 1.8997
2.9527 -2.9527 1.8997
2.9527 2.9527 -1.8997
Cu Au
4 1
Direct
0.0939 0.3061 0.4000
0.3061 0.9061 0.2122
0.6939 0.0939 0.7878
0.9061 0.6939 0.6000
0.5000 0.5000 0.0000
```

---

3.
Cu7Au2: optimized geometry, PBE.

Results
calculated total energy = -3.833 eV per atom
energy of formation = 0.081 eV/atom
space group = R-3m, No. 166
size of the total moment = 0.00 μB/f.u.

```
Cu7Au2
1.0
2.4197 1.3970 12.4342
-2.4197 1.3970 12.4342
0.0000 -2.7940 12.4342
Cu Au
14 4
Direct
0.0000 0.0000 0.0000
0.0000 0.0000 0.5000
0.0000 0.5000 0.0000
0.1113 0.1113 0.1113
0.1124 0.1124 0.6103
0.1124 0.6103 0.1124
0.2218 0.2218 0.2218
0.3897 0.8876 0.8876
0.5000 0.0000 0.0000
0.6103 0.1124 0.1124
0.7782 0.7782 0.7782
0.8876 0.3897 0.8876
0.8876 0.8876 0.3897
0.8887 0.8887 0.8887
0.3460 0.3460 0.3460
0.4300 0.4300 0.4300
0.5700 0.5700 0.5700
0.6540 0.6540 0.6540
```

---

energy of formation of number 2 (Cu4Au)? -0.027 eV/atom